Record 1
This record from the Alexandria database describes a geometry-optimized NbNCl3 structure. The functional is PBE.

The calculation puts the energy relative to the lowest polymorph listed for this composition at 878.4 meV per atom. The raw total energy is -3.6476 eV per atom. Its uncorrected formation energy is 1.1394 eV/atom. The value obtained for the mass density is 4.042 g cm⁻³.

It has space group Pm-3m (No. 221), with a = 4.441 Å, b = 4.441 Å, c = 4.441 Å, α = 90.00°, β = 90.00° and γ = 90.00°. The distinct sites, in fractional coordinates, are Nb at (0.000, 0.000, 0.000), N at (0.500, 0.500, 0.500) and Cl at (0.000, 0.500, 0.500).

Record 2
This record from the Alexandria database describes a geometry-optimized SrLiTmO3 structure. The functional is PBE.

The raw total energy is -6.6933 eV per atom. Its uncorrected formation energy is -2.8696 eV/atom. The value obtained for the mass density is 6.395 g cm⁻³.

It has space group Cmcm (No. 63), with a = 3.404 Å, b = 11.044 Å, c = 8.606 Å, α = 90.00°, β = 90.00° and γ = 90.00°. The distinct sites, in fractional coordinates, are Sr at (0.000, 0.244, 0.250), Li at (0.000, 0.026, 0.750), Tm at (0.000, 0.500, 0.000), O at (0.000, 0.123, 0.571) and O at (0.000, 0.433, 0.750).

Record 3
This record from the Alexandria database describes a geometry-optimized Sm4GeB3Rh12 structure. The functional is PBE.

The calculation puts the energy relative to the elements at -0.668 eV/atom. The raw total energy is -7.2549 eV per atom. The value obtained for the mass density is 9.948 g cm⁻³.

It has space group Im-3m (No. 229), with a = 8.654 Å, b = 8.654 Å, c = 8.654 Å, α = 90.00°, β = 90.00° and γ = 90.00°. The distinct sites, in fractional coordinates, are Sm at (0.250, 0.250, 0.250), Ge at (0.000, 0.000, 0.000), B at (0.000, 0.000, 0.500), Rh at (0.000, 0.000, 0.269) and Rh at (0.000, 0.250, 0.500).

It is found that the total magnetic moment values, taken in the order of the records, are 3.2 0.0 0.0 μB/f.u..